--- A ---
DFT (GGA-PBE) results for a geometry-optimized Ho2ScIn2 structure.

Unit cell a=4.684 b=6.532 c=8.918 alpha=90.00 beta=90.00 gamma=90.00
Space group Immm (No. 71)
Unique sites:
Ho1 0.000 0.000 0.196 (multiplicity 4)
Sc1 0.000 0.500 0.000 (multiplicity 2)
In1 0.000 0.277 0.500 (multiplicity 4)

Computed properties:
Calculated density   7357 kg/m3
Total magnetization   0.0 μB/cell



--- B ---
DFT (GGA-PBE) results for a geometry-optimized Ho2ScIn2 structure.

Unit cell a=7.858 b=7.858 c=4.398 alpha=90.00 beta=90.00 gamma=90.00
Space group P4/mbm (No. 127)
Unique sites:
Ho1 0.173 0.327 0.000 (multiplicity 4)
Sc1 0.000 0.000 0.500 (multiplicity 2)
In1 0.131 0.631 0.500 (multiplicity 4)

Computed properties:
Calculated density   7392 kg/m3
Total magnetization   0.0 μB/cell



Each structure's energy above the most stable one, in kJ/mol of atoms: A 2.9; B 0.0.



--- A ---
DFT (GGA-PBE) results for a geometry-optimized Ho6ScIn2 structure.

Unit cell a=12.553 b=3.659 c=11.670 alpha=90.00 beta=107.18 gamma=90.00
Space group C2/m (No. 12)
Unique sites:
Ho1 0.021 0.000 0.344 (multiplicity 4)
Ho2 0.173 0.500 0.880 (multiplicity 4)
Ho3 0.191 0.500 0.591 (multiplicity 4)
Sc1 0.000 0.000 0.000 (multiplicity 2)
In1 0.141 0.500 0.189 (multiplicity 4)

Computed properties:
Calculated density   8197 kg/m3
Total magnetization   0.0 μB/cell



--- B ---
DFT (GGA-PBE) results for a geometry-optimized Ho6ScIn2 structure.

Unit cell a=7.660 b=7.660 c=10.934 alpha=90.00 beta=90.00 gamma=90.00
Space group P4_2/mnm (No. 136)
Unique sites:
Ho1 0.197 0.197 0.000 (multiplicity 4)
Ho2 0.240 0.240 0.344 (multiplicity 8)
Sc1 0.000 0.000 0.500 (multiplicity 2)
In1 0.000 0.000 0.217 (multiplicity 4)

Computed properties:
Calculated density   6545 kg/m3
Total magnetization   0.0 μB/cell



Each structure's energy above the most stable one, in kJ/mol of atoms: A 0.0; B 56.6.



--- A ---
DFT (GGA-PBE) results for a geometry-optimized TbHoScIn structure.

Unit cell a=7.553 b=7.553 c=7.553 alpha=90.00 beta=90.00 gamma=90.00
Space group F-43m (No. 216)
Unique sites:
Tb1 0.000 0.000 0.000 (multiplicity 4)
Ho1 0.000 0.000 0.500 (multiplicity 4)
Sc1 0.250 0.250 0.250 (multiplicity 4)
In1 0.250 0.250 0.750 (multiplicity 4)

Computed properties:
Calculated density   7455 kg/m3
Total magnetization   3.9 μB/cell



--- B ---
DFT (GGA-PBE) results for a geometry-optimized TbHoScIn structure.

Unit cell a=4.727 b=4.740 c=4.748 alpha=90.00 beta=90.00 gamma=90.00
Space group Pmmm (No. 47)
Unique sites:
Tb1 0.000 0.000 0.000 (multiplicity 1)
Ho1 0.000 0.500 0.500 (multiplicity 1)
Sc1 0.500 0.500 0.000 (multiplicity 1)
In1 0.500 0.000 0.500 (multiplicity 1)

Computed properties:
Calculated density   7551 kg/m3
Total magnetization   0.7 μB/cell



Each structure's energy above the most stable one, in kJ/mol of atoms: A 9.9; B 0.0.



--- A ---
DFT (GGA-PBE) results for a geometry-optimized HoTmScIn structure.

Unit cell a=4.691 b=4.715 c=4.723 alpha=90.00 beta=90.00 gamma=90.00
Space group Pmmm (No. 47)
Unique sites:
Ho1 0.000 0.000 0.000 (multiplicity 1)
Tm1 0.000 0.500 0.500 (multiplicity 1)
Sc1 0.500 0.500 0.000 (multiplicity 1)
In1 0.500 0.000 0.500 (multiplicity 1)

Computed properties:
Calculated density   7847 kg/m3
Total magnetization   0.6 μB/cell



--- B ---
DFT (GGA-PBE) results for a geometry-optimized HoTmScIn structure.

Unit cell a=7.504 b=7.504 c=7.504 alpha=90.00 beta=90.00 gamma=90.00
Space group F-43m (No. 216)
Unique sites:
Ho1 0.000 0.000 0.000 (multiplicity 4)
Tm1 0.000 0.000 0.500 (multiplicity 4)
Sc1 0.250 0.250 0.750 (multiplicity 4)
In1 0.250 0.250 0.250 (multiplicity 4)

Computed properties:
Calculated density   7759 kg/m3
Total magnetization   2.7 μB/cell



Each structure's energy above the most stable one, in kJ/mol of atoms: A 0.0; B 10.6.



--- A ---
DFT (GGA-PBE) results for a geometry-optimized YHoScIn structure.

Unit cell a=4.711 b=4.747 c=4.761 alpha=90.00 beta=90.00 gamma=90.00
Space group Pmmm (No. 47)
Unique sites:
Y1 0.000 0.000 0.000 (multiplicity 1)
Ho1 0.000 0.500 0.500 (multiplicity 1)
Sc1 0.500 0.000 0.500 (multiplicity 1)
In1 0.500 0.500 0.000 (multiplicity 1)

Computed properties:
Calculated density   6451 kg/m3
Total magnetization   0.9 μB/cell



--- B ---
DFT (GGA-PBE) results for a geometry-optimized YHoScIn structure.

Unit cell a=7.552 b=7.552 c=7.552 alpha=90.00 beta=90.00 gamma=90.00
Space group F-43m (No. 216)
Unique sites:
Y1 0.000 0.000 0.000 (multiplicity 4)
Ho1 0.000 0.000 0.500 (multiplicity 4)
Sc1 0.250 0.250 0.250 (multiplicity 4)
In1 0.250 0.250 0.750 (multiplicity 4)

Computed properties:
Calculated density   6378 kg/m3
Total magnetization   4.2 μB/cell



Each structure's energy above the most stable one, in kJ/mol of atoms: A 0.0; B 9.5.



--- A ---
DFT (GGA-PBE) results for a geometry-optimized HoScZnIn structure.

Unit cell a=3.531 b=3.531 c=7.177 alpha=90.00 beta=90.00 gamma=90.00
Space group P4mm (No. 99)
Unique sites:
Ho1 0.000 0.000 0.000 (multiplicity 1)
Sc1 0.000 0.000 0.460 (multiplicity 1)
Zn1 0.500 0.500 0.252 (multiplicity 1)
In1 0.500 0.500 0.713 (multiplicity 1)

Computed properties:
Calculated density   7239 kg/m3
Total magnetization   0.0 μB/cell



--- B ---
DFT (GGA-PBE) results for a geometry-optimized HoScZnIn structure.

Unit cell a=7.128 b=7.128 c=7.128 alpha=90.00 beta=90.00 gamma=90.00
Space group F-43m (No. 216)
Unique sites:
Ho1 0.000 0.000 0.000 (multiplicity 4)
Sc1 0.000 0.000 0.500 (multiplicity 4)
Zn1 0.250 0.250 0.250 (multiplicity 4)
In1 0.250 0.250 0.750 (multiplicity 4)

Computed properties:
Calculated density   7155 kg/m3
Total magnetization   0.0 μB/cell



Each structure's energy above the most stable one, in kJ/mol of atoms: A 0.0; B 2.6.



--- A ---
DFT (GGA-PBE) results for a geometry-optimized HoInSe3 structure.

Unit cell a=7.268 b=4.149 c=10.487 alpha=90.00 beta=97.85 gamma=90.00
Space group P2_1/m (No. 11)
Unique sites:
Ho1 0.210 0.250 0.435 (multiplicity 2)
In1 0.410 0.250 0.860 (multiplicity 2)
Se1 0.033 0.250 0.656 (multiplicity 2)
Se2 0.264 0.750 0.966 (multiplicity 2)
Se3 0.470 0.750 0.362 (multiplicity 2)

Computed properties:
Calculated density   5477 kg/m3
Total magnetization   0.0 μB/cell



--- B ---
DFT (GGA-PBE) results for a geometry-optimized HoInSe3 structure.

Unit cell a=7.346 b=7.289 c=11.401 alpha=90.00 beta=113.15 gamma=90.00
Space group P2_1/c (No. 14)
Unique sites:
Ho1 0.007 0.113 0.185 (multiplicity 4)
In1 0.376 0.604 0.123 (multiplicity 4)
Se1 0.022 0.729 0.569 (multiplicity 4)
Se2 0.292 0.617 0.877 (multiplicity 4)
Se3 0.332 0.127 0.789 (multiplicity 4)

Computed properties:
Calculated density   6114 kg/m3
Total magnetization   0.0 μB/cell



Each structure's energy above the most stable one, in kJ/mol of atoms: A 0.0; B 3.2.



--- A ---
DFT (GGA-PBE) results for a geometry-optimized Sm6HoIn2 structure.

Unit cell a=18.657 b=12.116 c=5.128 alpha=90.00 beta=90.00 gamma=90.00
Space group Cmcm (No. 63)
Unique sites:
Sm1 0.090 0.084 0.250 (multiplicity 8)
Sm2 0.099 0.379 0.250 (multiplicity 8)
Sm3 0.197 0.169 0.750 (multiplicity 8)
Ho1 0.000 0.218 0.750 (multiplicity 4)
In1 0.219 0.426 0.750 (multiplicity 8)

Computed properties:
Calculated density   7430 kg/m3
Total magnetization   0.0 μB/cell



--- B ---
DFT (GGA-PBE) results for a geometry-optimized Sm6HoIn2 structure.

Unit cell a=12.974 b=3.811 c=12.007 alpha=90.00 beta=108.14 gamma=90.00
Space group C2/m (No. 12)
Unique sites:
Sm1 0.016 0.000 0.340 (multiplicity 4)
Sm2 0.183 0.500 0.877 (multiplicity 4)
Sm3 0.192 0.500 0.589 (multiplicity 4)
Ho1 0.000 0.000 0.000 (multiplicity 2)
In1 0.141 0.500 0.200 (multiplicity 4)

Computed properties:
Calculated density   7633 kg/m3
Total magnetization   0.0 μB/cell



Each structure's energy above the most stable one, in kJ/mol of atoms: A 12.5; B 0.0.